PBE-GGA InTe2Pb, optimized geometry; formation energy (no corrections) = -0.1212 eV per atom; symmetry = No. 12
1.0
6.660 0.000 0.000
0.000 8.742 0.000
-0.155 0.000 4.329
In Te Pb
2 4 2
Direct
0.000 0.000 0.000
0.500 0.500 0.000
0.250 0.250 0.500
0.250 0.750 0.500
0.750 0.250 0.500
0.750 0.750 0.500
0.000 0.500 0.000
0.500 0.000 0.000